# NbPb2Br (PBE, optimized geometry)
data_NbPb2Br
_space_group_name_H-M_alt 'F m -3 m'
_space_group_IT_number 225
_space_group_name_Hall '-F 4 2 3'
_cell_length_a 7.551
_cell_length_b 7.551
_cell_length_c 7.551
_cell_angle_alpha 90.00
_cell_angle_beta 90.00
_cell_angle_gamma 90.00
loop_
_atom_site_label
_atom_site_type_symbol
_atom_site_fract_x
_atom_site_fract_y
_atom_site_fract_z
Nb1 Nb 0.000 0.000 0.000
Pb1 Pb 0.250 0.250 0.250
Br1 Br 0.000 0.000 0.500
# Energy relative to the lowest polymorph listed for this composition, meV/atom: 0
# Volume, Å³/atom: 26.9
# Magnetization, μB/f.u.: 2.399